1.
VASP calculation (PBE) on SrLaOs2 after structural relaxation.

```
SrLaOs2
1.0
3.500 0.000 0.000
0.000 5.137 0.000
0.000 0.000 4.720
La Os Sr
1 2 1
Cartesian
0.000 2.569 2.360 La
0.000 0.000 0.000 Os
1.750 2.569 0.000 Os
1.750 0.000 2.360 Sr
```

Output
VASP energy ... -6.3875 eV per atom
Density ... 11.876 g/cm3
DFT formation energy ... 3.52 eV per formula unit
M_tot ... 0.00 μB/atom
Energy above the most stable polymorph in this dataset ... 827 meV/atom

2.
VASP calculation (PBE) on Sr2LaOs after structural relaxation.

```
Sr2LaOs
1.0
6.093 -0.004 -0.013
-2.587 5.844 -0.004
0.919 1.024 3.294
La Os Sr
1 1 2
Cartesian
-0.834 3.434 1.645 La
1.753 2.920 -0.008 Os
0.000 0.000 0.000 Sr
3.506 0.510 1.641 Sr
```

Output
VASP energy ... -4.0773 eV per atom
Density ... 7.134 g/cm3
DFT formation energy ... 3.21 eV per formula unit
M_tot ... 0.00 μB/atom
Energy above the most stable polymorph in this dataset ... 614 meV/atom

3.
VASP calculation (PBE) on SrLaOs2 after structural relaxation.

```
SrLaOs2
1.0
3.568 0.000 0.000
0.000 3.568 0.000
0.000 0.000 7.263
La Os Sr
1 2 1
Cartesian
1.784 1.784 5.447 La
0.000 0.000 7.004 Os
0.000 0.000 3.890 Os
1.784 1.784 1.816 Sr
```

Output
VASP energy ... -6.5472 eV per atom
Density ... 10.900 g/cm3
DFT formation energy ... 2.88 eV per formula unit
M_tot ... 0.00 μB/atom
Energy above the most stable polymorph in this dataset ... 667 meV/atom

Which value of density does entry 1 give?
11.876 g/cm3

DFT formation energy of number 1 (SrLaOs2)?
3.52 eV per formula unit